# SrPr2SnN, relaxed, DFT PBE
# E_form (uncorrected) ... -0.860 eV per atom
# Theoretical density ... 6.2 g cm⁻³
data_SrPr2SnN
_chemical_formula_sum 'Sr1 Pr2 Sn1 N1'
_space_group_name_H-M_alt 'P 4/m m m'
_space_group_IT_number 123
_space_group_name_Hall '-P 4 2'
_cell_length_a 5.076
_cell_length_b 5.076
_cell_length_c 5.181
_cell_angle_alpha 90.00
_cell_angle_beta 90.00
_cell_angle_gamma 90.00
loop_
_atom_site_label
_atom_site_type_symbol
_atom_site_fract_x
_atom_site_fract_y
_atom_site_fract_z
_atom_site_occupancy
Sr1 Sr 0.000 0.000 0.000 1
Pr1 Pr 0.000 0.500 0.500 1
Sn1 Sn 0.500 0.500 0.000 1
N1 N 0.000 0.000 0.500 1

# CaSc2Os, relaxed, DFT PBE
# Theoretical density ... 5.7 g cm⁻³
# Formation enthalpy at 0 K ... -0.045 eV per atom
# Energy relative to the lowest polymorph listed for this composition ... 178.9 meV per atom
data_CaSc2Os
_chemical_formula_sum 'Ca2 Sc4 Os2'
_space_group_name_H-M_alt 'I m m m'
_space_group_IT_number 71
_space_group_name_Hall '-I 2 2'
_cell_length_a 3.545
_cell_length_b 5.402
_cell_length_c 9.676
_cell_angle_alpha 90.00
_cell_angle_beta 90.00
_cell_angle_gamma 90.00
loop_
_atom_site_label
_atom_site_type_symbol
_atom_site_fract_x
_atom_site_fract_y
_atom_site_fract_z
_atom_site_occupancy
Ca1 Ca 0.000 0.000 0.000 1
Sc1 Sc 0.000 0.500 0.196 1
Os1 Os 0.000 0.000 0.500 1

# HfMg2Tc, relaxed, DFT PBE
# Theoretical density ... 6.8 g cm⁻³
# Formation enthalpy at 0 K ... 0.407 eV per atom
# Energy relative to the lowest polymorph listed for this composition ... 49.6 meV per atom
data_HfMg2Tc
_chemical_formula_sum 'Hf4 Mg8 Tc4'
_space_group_name_H-M_alt 'I -4 2 d'
_space_group_IT_number 122
_space_group_name_Hall 'I -4 2bw'
_cell_length_a 3.885
_cell_length_b 3.885
_cell_length_c 20.968
_cell_angle_alpha 90.00
_cell_angle_beta 90.00
_cell_angle_gamma 90.00
loop_
_atom_site_label
_atom_site_type_symbol
_atom_site_fract_x
_atom_site_fract_y
_atom_site_fract_z
_atom_site_occupancy
Hf1 Hf 0.000 0.000 0.000 1
Mg1 Mg 0.235 0.250 0.625 1
Tc1 Tc 0.000 0.000 0.500 1